Density functional theory data (PBE with a Hubbard U) for an optimized crystal structure of PmMn7O12.

Lattice parameters (Å, degrees): 6.549 6.549 6.549 109.47 109.47 109.47
Fractional positions:
Pm  0.000  0.000  0.000
Mn  0.000  0.000  0.500
Mn  0.000  0.500  0.000
Mn  0.000  0.500  0.500
Mn  0.500  0.000  0.000
Mn  0.500  0.000  0.500
Mn  0.500  0.500  0.000
Mn  0.500  0.500  0.500
O  0.131  0.826  0.306
O  0.174  0.306  0.480
O  0.174  0.694  0.869
O  0.306  0.131  0.826
O  0.306  0.480  0.174
O  0.480  0.174  0.306
O  0.520  0.826  0.694
O  0.694  0.520  0.826
O  0.694  0.869  0.174
O  0.826  0.306  0.131
O  0.826  0.694  0.520
O  0.869  0.174  0.694

E_tot   -0.2810 hartree per atom
N(E_F)   2.5 states/eV/f.u.
Size of the total moment   1.400 μB per atom